Hf2MnBr | PBE-GGA | optimized geometry

As for the energy above the lowest structure with this stoichiometry: 252 meV per atom. The formation energy from raw total energies comes out at 0.600 eV per atom.

a b c (Å): 5.829 5.829 12.117
angles (deg): 90.00 90.00 90.00
Fractional coordinates of all 16 atoms:
Hf: 0.162 0.250 0.125
Hf: 0.250 0.662 0.375
Hf: 0.250 0.838 0.875
Hf: 0.338 0.250 0.625
Hf: 0.662 0.750 0.625
Hf: 0.750 0.162 0.875
Hf: 0.750 0.338 0.375
Hf: 0.838 0.750 0.125
Mn: 0.000 0.000 0.000
Mn: 0.000 0.500 0.250
Mn: 0.500 0.000 0.750
Mn: 0.500 0.500 0.500
Br: 0.000 0.000 0.500
Br: 0.000 0.500 0.750
Br: 0.500 0.000 0.250
Br: 0.500 0.500 0.000